Version P
VASP calculation (GGA-PBE) on an optimized crystal structure of Ta3CuBi.

a b c (Å): 5.1221 5.1221 5.1221
angles (deg): 90.00 90.00 90.00
Closest atoms and distances in Å follow each position.
Sites, in units of the cell vectors:
Ta: 0.0000 0.0000 0.5000  2 Bi 2.56
Ta: 0.0000 0.5000 0.0000  2 Bi 2.56
Ta: 0.5000 0.0000 0.0000  2 Bi 2.56
Cu: 0.5000 0.5000 0.5000  12 Ta 3.62
Bi: 0.0000 0.0000 0.0000  6 Ta 2.56

Computed properties:
The symmetry is Pm-3m (221). The calculated volume is 26.88 A^3/atom.



Version Q
VASP calculation (GGA-PBE) on an optimized crystal structure of Ta3CuBi.

a b c (Å): 4.7235 4.7235 4.7235
angles (deg): 90.00 90.00 90.00
Closest atoms and distances in Å follow each position.
Sites, in units of the cell vectors:
Ta: 0.0000 0.0000 0.5000  2 Cu 2.36
Ta: 0.0000 0.5000 0.0000  2 Cu 2.36
Ta: 0.5000 0.0000 0.0000  2 Cu 2.36
Cu: 0.0000 0.0000 0.0000  6 Ta 2.36
Bi: 0.5000 0.5000 0.5000  12 Ta 3.34

Computed properties:
The symmetry is Pm-3m (221). The calculated volume is 21.08 A^3/atom.



Which of them is the most stable, and which is the least stable? version Q and version P, in that order.



Version P
VASP calculation (GGA-PBE) on an optimized crystal structure of CuTcBi2.

a b c (Å): 4.8867 4.8867 4.8867
angles (deg): 60.00 60.00 60.00
Closest atoms and distances in Å follow each position.
Sites, in units of the cell vectors:
Cu: 0.0000 0.0000 0.0000  8 Bi 2.99
Tc: 0.5000 0.5000 0.5000  8 Bi 2.99
Bi: 0.2500 0.2500 0.2500  4 Tc 2.99, 4 Cu 2.99
Bi: 0.7500 0.7500 0.7500  4 Tc 2.99, 4 Cu 2.99

Computed properties:
The symmetry is Fm-3m (225). The calculated volume is 20.63 A^3/atom.



Version Q
VASP calculation (GGA-PBE) on an optimized crystal structure of CuTcBi2.

a b c (Å): 7.2945 7.2945 7.2945
angles (deg): 128.32 128.32 76.11
Closest atoms and distances in Å follow each position.
Sites, in units of the cell vectors:
Cu: 0.0000 0.0000 0.0000  4 Bi 2.68
Cu: 0.7500 0.2500 0.5000  4 Bi 2.68
Tc: 0.2500 0.7500 0.5000  4 Bi 2.66
Tc: 0.5000 0.5000 0.0000  4 Bi 2.66
Bi: 0.1275 0.6250 0.0025  2 Tc 2.66, 2 Cu 2.68
Bi: 0.3750 0.3775 0.5025  2 Tc 2.66, 2 Cu 2.68
Bi: 0.6225 0.1250 0.9975  2 Tc 2.66, 2 Cu 2.68
Bi: 0.8750 0.8725 0.4975  2 Tc 2.66, 2 Cu 2.68

Computed properties:
The symmetry is I-42d (122). The calculated volume is 29.03 A^3/atom.



Which of them is the most stable, and which is the least stable? version P and version Q, in that order.



Version P
VASP calculation (GGA-PBE) on an optimized crystal structure of Cu2Bi2Te.

a b c (Å): 6.6194 6.6194 6.6194
angles (deg): 139.13 139.13 59.17
Closest atoms and distances in Å follow each position.
Sites, in units of the cell vectors:
Cu: 0.1052 0.1052 0.0000  1 Cu 2.42
Cu: 0.8948 0.8948 0.0000  1 Cu 2.42
Bi: 0.2500 0.7500 0.5000  4 Cu 2.85
Bi: 0.7500 0.2500 0.5000  4 Cu 2.85
Te: 0.5000 0.5000 0.0000  8 Cu 3.49, 8 Bi 3.69

Computed properties:
The symmetry is I4/mmm (139). The calculated volume is 24.59 A^3/atom.



Version Q
VASP calculation (GGA-PBE) on an optimized crystal structure of Cu2Bi2Te.

a b c (Å): 8.7254 8.7254 3.1500
angles (deg): 90.00 90.00 90.00
Closest atoms and distances in Å follow each position.
Sites, in units of the cell vectors:
Cu: 0.1468 0.3532 0.0000  6 Bi 2.97-3.02, 2 Cu 3.15
Cu: 0.3532 0.8532 0.0000  6 Bi 2.97-3.02, 2 Cu 3.15
Cu: 0.6468 0.1468 0.0000  6 Bi 2.97-3.02, 2 Cu 3.15
Cu: 0.8532 0.6468 0.0000  6 Bi 2.97-3.02, 2 Cu 3.15
Bi: 0.1488 0.6488 0.5000  6 Cu 2.97-3.02, 2 Bi 3.15, 2 Te 3.33
Bi: 0.3512 0.1488 0.5000  6 Cu 2.97-3.02, 2 Bi 3.15, 2 Te 3.33
Bi: 0.6488 0.8512 0.5000  6 Cu 2.97-3.02, 2 Bi 3.15, 2 Te 3.33
Bi: 0.8512 0.3512 0.5000  6 Cu 2.97-3.02, 2 Bi 3.15, 2 Te 3.33
Te: 0.0000 0.0000 0.5000  2 Te 3.15, 4 Bi 3.33
Te: 0.5000 0.5000 0.5000  2 Te 3.15, 4 Bi 3.33

Computed properties:
The symmetry is P4/mbm (127). The calculated volume is 23.98 A^3/atom.



Which of them is the most stable, and which is the least stable? version Q and version P, in that order.



Version P
VASP calculation (GGA-PBE) on an optimized crystal structure of CuBiTe3.

a b c (Å): 5.1554 5.1554 5.1554
angles (deg): 90.00 90.00 90.00
Closest atoms and distances in Å follow each position.
Sites, in units of the cell vectors:
Cu: 0.0000 0.0000 0.0000  6 Te 2.58
Bi: 0.5000 0.5000 0.5000  12 Te 3.65
Te: 0.0000 0.0000 0.5000  2 Cu 2.58
Te: 0.0000 0.5000 0.0000  2 Cu 2.58
Te: 0.5000 0.0000 0.0000  2 Cu 2.58

Computed properties:
The symmetry is Pm-3m (221). The calculated volume is 27.40 A^3/atom.



Version Q
VASP calculation (GGA-PBE) on an optimized crystal structure of CuBiTe3.

a b c (Å): 7.8187 4.0910 9.5609
angles (deg): 90.00 91.71 90.00
Closest atoms and distances in Å follow each position.
Sites, in units of the cell vectors:
Cu: 0.1394 0.2500 0.0827  5 Te 2.63-2.72
Cu: 0.8606 0.7500 0.9173  5 Te 2.63-2.72
Bi: 0.4269 0.7500 0.6901  5 Te 3.04-3.39
Bi: 0.5731 0.2500 0.3099  5 Te 3.04-3.39
Te: 0.0245 0.2500 0.8112  3 Cu 2.63-2.72
Te: 0.2623 0.2500 0.4933  3 Bi 3.04
Te: 0.3573 0.7500 0.0832  2 Cu 2.66
Te: 0.6427 0.2500 0.9168  2 Cu 2.66
Te: 0.7377 0.7500 0.5067  3 Bi 3.04
Te: 0.9755 0.7500 0.1888  3 Cu 2.63-2.72

Computed properties:
The symmetry is P2_1/m (11). The calculated volume is 30.57 A^3/atom.



Version R
VASP calculation (GGA-PBE) on an optimized crystal structure of CuBiTe3.

a b c (Å): 5.8744 5.8744 5.8744
angles (deg): 90.00 90.00 90.00
Closest atoms and distances in Å follow each position.
Sites, in units of the cell vectors:
Cu: 0.0000 0.0000 0.0000  12 Te 4.15
Bi: 0.5000 0.5000 0.5000  6 Te 2.94
Te: 0.0000 0.5000 0.5000  2 Bi 2.94
Te: 0.5000 0.0000 0.5000  2 Bi 2.94
Te: 0.5000 0.5000 0.0000  2 Bi 2.94

Computed properties:
The symmetry is Pm-3m (221). The calculated volume is 40.54 A^3/atom.



Which of them is the most stable, and which is the least stable? version Q and version R, in that order.